1.
Compound: Sr2Zn4Ge3Pd
Source: Alexandria via LeMat-Bulk
Functional: PBE
Structure: relaxed

Results
For the electronic total energy, the calculation gives -3.179 eV/atom. The space group is P-4m2 (115).

Lattice parameters (Å, degrees): 4.3903 4.3903 10.6431 90.00 90.00 90.00
Last column: nearest neighbours and their distance in Å.
Element x y z (fractional)
Ge: 0.5000 0.0000 0.8642  5 Zn 2.53-2.63
Ge: 0.0000 0.5000 0.1358  5 Zn 2.53-2.63
Zn: 0.5000 0.0000 0.6263  3 Ge 2.53-2.57, 2 Pd 2.57
Sr: 0.5000 0.0000 0.2530  6 Ge 3.35-3.43, 8 Zn 3.36-3.47, 2 Pd 3.43
Sr: 0.0000 0.5000 0.7470  6 Ge 3.35-3.43, 8 Zn 3.36-3.47, 2 Pd 3.43
Zn: 0.5000 0.5000 0.0000  4 Ge 2.63
Ge: 0.0000 0.0000 0.5000  4 Zn 2.57
Zn: 0.0000 0.5000 0.3737  3 Ge 2.53-2.57, 2 Pd 2.57
Zn: 0.0000 0.0000 0.0000  4 Ge 2.63
Pd: 0.5000 0.5000 0.5000  4 Zn 2.57

***

2.
Compound: Y2AlPt
Source: Alexandria via LeMat-Bulk
Functional: PBE
Structure: relaxed

Results
For the electronic total energy, the calculation gives -6.180 eV/atom. The space group is Pmm2 (25).

Lattice parameters (Å, degrees): 4.3592 3.7849 6.0296 90.00 90.00 90.00
Last column: nearest neighbours and their distance in Å.
Element x y z (fractional)
Al: 0.0000 0.0000 0.4404  6 Y 2.96-3.07
Pt: 0.5000 0.5000 0.8246  6 Y 2.89-3.14
Y: 0.0000 0.0000 0.9315  4 Pt 2.96, 2 Al 2.96-3.07
Y: 0.5000 0.5000 0.3034  2 Pt 2.89-3.14, 4 Al 3.00

***

3.
Compound: Y2TmSc3
Source: Alexandria via LeMat-Bulk
Functional: PBE
Structure: relaxed

Results
The value obtained for the energy above the most stable polymorph in this dataset is 49 meV/atom. The space group is P-3m1 (164).

Lattice parameters (Å, degrees): 6.2984 6.2984 10.2762 90.00 90.00 120.00
Last column: nearest neighbours and their distance in Å.
Element x y z (fractional)
Sc: 0.8282 0.6564 0.7514  4 Sc 3.05-3.25, 2 Y 3.17-3.19
Sc: 0.8282 0.1718 0.7514  4 Sc 3.05-3.25, 2 Y 3.17-3.19
Sc: 0.6564 0.8282 0.2486  4 Sc 3.05-3.25, 2 Y 3.17-3.19
Y: 0.6667 0.3333 0.4360  9 Sc 3.69, 6 Y 3.70-3.87, 1 Tm 3.84
Sc: 0.1718 0.3436 0.2486  4 Sc 3.05-3.25, 2 Y 3.17-3.19
Sc: 0.3436 0.1718 0.7514  4 Sc 3.05-3.25, 2 Y 3.17-3.19
Y: 0.3333 0.6667 0.5640  9 Sc 3.69, 6 Y 3.70-3.87, 1 Tm 3.84
Tm: 0.3333 0.6667 0.9377  9 Sc 3.65-3.69, 4 Y 3.69-3.84, 3 Tm 3.86
Y: 0.0000 0.0000 0.5000  6 Sc 3.19
Tm: 0.6667 0.3333 0.0623  9 Sc 3.65-3.69, 4 Y 3.69-3.84, 3 Tm 3.86
Sc: 0.1718 0.8282 0.2486  4 Sc 3.05-3.25, 2 Y 3.17-3.19
Y: 0.0000 0.0000 0.0000  6 Sc 3.17

***

4.
Compound: TbTh2ReN5
Source: Alexandria via LeMat-Bulk
Functional: PBE
Structure: relaxed

Results
The calculation puts the formation energy from raw total energies at -1.038 eV/atom. The space group is I4/mcm (140).

Lattice parameters (Å, degrees): 6.7532 6.7532 7.5602 116.53 116.53 90.00
Last column: nearest neighbours and their distance in Å.
Element x y z (fractional)
Re: 0.7500 0.2500 0.5000  4 N 1.91
N: 0.7090 0.2090 0.7169  1 Re 1.91
Tb: 0.7500 0.7500 0.5000  10 N 2.87-2.93
N: 0.2090 0.0078 0.7169  1 Re 1.91
Th: 0.3243 0.8243 0.0000  4 N 2.35-2.49
Th: 0.1757 0.3243 0.0000  4 N 2.35-2.49
N: 0.4922 0.2910 0.2831  1 Re 1.91
Tb: 0.2500 0.2500 0.5000  10 N 2.87-2.93
N: 0.2910 0.7910 0.2831  1 Re 1.91
N: 0.9922 0.4922 0.2831  1 Re 1.91
N: 0.0078 0.5078 0.7169  1 Re 1.91
N: 0.0000 0.0000 0.0000  4 Th 2.49
Th: 0.6757 0.1757 0.0000  4 N 2.35-2.49
Th: 0.8243 0.6757 0.0000  4 N 2.35-2.49
N: 0.5000 0.5000 0.0000  4 Th 2.49
N: 0.5078 0.7090 0.7169  1 Re 1.91
N: 0.7910 0.9922 0.2831  1 Re 1.91
Re: 0.2500 0.7500 0.5000  4 N 1.91

***

5.
Compound: Sn4SbAs5
Source: Alexandria via LeMat-Bulk
Functional: PBE
Structure: relaxed

Results
The calculation puts the formation energy from raw total energies at -0.035 eV/atom. The space group is I4/mmm (139).

Lattice parameters (Å, degrees): 4.1271 4.1271 14.7130 98.06 98.06 90.00
Last column: nearest neighbours and their distance in Å.
Element x y z (fractional)
As: 0.3002 0.3002 0.6004  6 Sn 2.89-2.92
Sn: 0.8001 0.8001 0.6003  6 As 2.89-2.92
Sn: 0.5997 0.5997 0.1994  6 As 2.88-2.92
As: 0.6998 0.6998 0.3996  6 Sn 2.89-2.92
Sn: 0.4003 0.4003 0.8006  6 As 2.88-2.92
As: 0.0996 0.0996 0.1991  1 Sb 2.87, 5 Sn 2.89-2.92
As: 0.5000 0.5000 0.0000  2 Sn 2.88, 4 Sb 2.92
Sn: 0.1999 0.1999 0.3997  6 As 2.89-2.92
As: 0.9004 0.9004 0.8009  1 Sb 2.87, 5 Sn 2.89-2.92
Sb: 0.0000 0.0000 0.0000  6 As 2.87-2.92

***

6.
Compound: Na3Mg2Te4
Source: Alexandria via LeMat-Bulk
Functional: PBE
Structure: relaxed

Results
The calculation puts the formation energy from raw total energies at -0.814 eV/atom. The space group is C2/m (12).

Lattice parameters (Å, degrees): 4.6588 7.5435 8.8430 112.38 105.27 90.01
Last column: nearest neighbours and their distance in Å.
Element x y z (fractional)
Te: 0.2231 0.2222 0.4459  3 Mg 2.85-2.86
Mg: 0.6690 0.9865 0.3378  4 Te 2.79-2.86
Te: 0.7769 0.7778 0.5541  3 Mg 2.85-2.86
Na: 0.1269 0.5286 0.2537  5 Te 3.23-3.42
Na: 0.0000 0.0000 0.0000  4 Te 3.12
Na: 0.8731 0.4714 0.7463  5 Te 3.23-3.42
Te: 0.4995 0.7236 0.9990  1 Mg 2.79
Mg: 0.3310 0.0135 0.6622  4 Te 2.79-2.86
Te: 0.5005 0.2764 0.0010  1 Mg 2.79

***

7.
Compound: SrZr2Rh
Source: Alexandria via LeMat-Bulk
Functional: PBE
Structure: relaxed

Results
The value obtained for the energy above the most stable polymorph in this dataset is 552 meV/atom. The space group is P4/mmm (123).

Lattice parameters (Å, degrees): 4.9631 4.9631 3.6101 90.00 90.00 90.00
Last column: nearest neighbours and their distance in Å.
Element x y z (fractional)
Zr: 0.0000 0.0000 0.0000  4 Sr 3.07, 4 Rh 3.07
Sr: 0.0000 0.5000 0.5000  8 Zr 3.07
Rh: 0.5000 0.0000 0.5000  8 Zr 3.07
Zr: 0.5000 0.5000 0.0000  4 Rh 3.07, 4 Sr 3.07

***

8.
Compound: Er8Co2Ni
Source: Alexandria via LeMat-Bulk
Functional: PBE
Structure: relaxed

Results
The value obtained for the energy above the most stable polymorph in this dataset is 0 meV/atom. The space group is C2/m (12).

Lattice parameters (Å, degrees): 4.8682 6.5870 8.7789 106.20 106.10 90.00
Last column: nearest neighbours and their distance in Å.
Element x y z (fractional)
Co: 0.1876 0.7107 0.3752  3 Er 2.64-2.76
Er: 0.9642 0.2099 0.9285  1 Co 2.76, 2 Ni 2.95
Er: 0.2024 0.3224 0.4048  1 Co 2.64
Co: 0.8124 0.2893 0.6248  3 Er 2.64-2.76
Er: 0.7976 0.6776 0.5952  1 Co 2.64
Er: 0.5945 0.4546 0.1889  1 Ni 2.96, 2 Co 3.11, 3 Er 3.29-3.30
Er: 0.3287 0.0260 0.6574  1 Co 2.67, 1 Ni 2.94
Er: 0.0358 0.7901 0.0715  1 Co 2.76, 2 Ni 2.95
Er: 0.4055 0.5454 0.8111  1 Ni 2.96, 2 Co 3.11, 3 Er 3.29-3.30
Ni: 0.5000 0.0000 0.0000  8 Er 2.94-2.96
Er: 0.6713 0.9740 0.3426  1 Co 2.67, 1 Ni 2.94